# CsPtS

A geometry-optimized CsPtS structure (GGA-PBE, Alexandria via LeMat-Bulk).

```
3
Lattice="5.708 0.000 0.000 0.000 4.085 0.000 0.000 -2.043 3.538" Properties=species:S:1:pos:R:3 pbc="T T T"
S 0.950 0.000 0.000
Pt 0.952 0.000 2.359
Cs 3.806 2.043 1.179
```

- offset from the most stable computed form (meV/atom) = 18
- raw formation energy (eV/atom) = -0.56
- raw total energy (eV per atom) = -4.2318
- size of the total moment (μB per cell) = 0.0

---

# CsPtS

A geometry-optimized CsPtS structure (GGA-PBE, Alexandria via LeMat-Bulk).

```
12
Lattice="4.367 0.000 0.000 0.000 10.922 0.000 0.000 0.000 8.787" Properties=species:S:1:pos:R:3 pbc="T T T"
S 2.180 5.461 5.600
S 2.187 5.461 1.206
S 4.064 0.000 8.307
S 0.303 0.000 3.914
Cs 0.006 8.168 1.719
Cs 0.006 2.754 1.719
Cs 4.362 2.754 6.112
Cs 4.362 8.168 6.112
Pt 2.184 5.461 3.408
Pt 2.484 0.000 3.915
Pt 2.183 5.461 7.802
Pt 1.883 0.000 8.308
```

- offset from the most stable computed form (meV/atom) = 65
- raw formation energy (eV/atom) = -0.51
- raw total energy (eV per atom) = -4.1844
- size of the total moment (μB per cell) = 0.0

---

# Cs5Pt2S5

A geometry-optimized Cs5Pt2S5 structure (GGA-PBE, Alexandria via LeMat-Bulk).

```
12
Lattice="4.459 0.000 0.000 -2.230 7.647 0.781 0.000 -2.037 11.551" Properties=species:S:1:pos:R:3 pbc="T T T"
Cs 2.230 2.064 1.126
Cs 2.230 3.741 4.603
Cs 2.230 -1.019 5.775
Cs 0.000 3.546 11.205
Cs 0.000 1.869 7.729
Pt 2.230 7.058 3.154
Pt 0.000 -1.448 9.178
S 2.230 4.484 8.336
S 0.000 6.219 3.163
S 0.000 1.126 3.996
S 2.230 -0.609 9.169
S 0.000 0.000 0.000
```

- raw formation energy (eV/atom) = -0.67
- raw total energy (eV per atom) = -3.7564
- size of the total moment (μB per cell) = 0.0

---

# CsPtS

A geometry-optimized CsPtS structure (GGA-PBE, Alexandria via LeMat-Bulk).

```
6
Lattice="-0.599 3.738 1.377 -4.733 0.724 -4.022 -2.699 -3.182 7.463" Properties=species:S:1:pos:R:3 pbc="T T T"
Pt -7.310 0.663 3.860
Pt -0.720 0.617 0.958
Cs -3.985 0.835 4.839
Cs -4.046 0.445 -0.020
S -6.292 -0.806 2.398
S -1.738 2.086 2.421
```

- offset from the most stable computed form (meV/atom) = 0
- raw formation energy (eV/atom) = -0.58
- raw total energy (eV per atom) = -4.2497
- size of the total moment (μB per cell) = 0.0

---

# CsScPt2S

A geometry-optimized CsScPt2S structure (GGA-PBE, Alexandria via LeMat-Bulk).

```
5
Lattice="4.929 0.000 0.000 0.000 4.789 0.000 0.000 0.000 4.929" Properties=species:S:1:pos:R:3 pbc="T T T"
Pt 2.465 0.000 0.000
Pt 0.000 0.000 2.465
Cs 2.465 2.395 2.465
Sc 0.000 2.395 0.000
S 0.000 0.000 0.000
```

- raw formation energy (eV/atom) = -0.05
- raw total energy (eV per atom) = -4.7261
- size of the total moment (μB per cell) = 0.0

---

# CsPt2SeS

A geometry-optimized CsPt2SeS structure (GGA-PBE, Alexandria via LeMat-Bulk).

```
5
Lattice="-3.456 -1.189 -2.846 3.476 -3.817 -2.628 -1.336 -3.275 2.990" Properties=species:S:1:pos:R:3 pbc="T T T"
Pt -1.728 -0.594 -1.423
Pt -0.668 -1.638 1.495
Cs -0.658 -4.140 -1.242
S 0.000 0.000 0.000
Se 1.738 -1.908 -1.314
```

- raw formation energy (eV/atom) = 0.21
- raw total energy (eV per atom) = -3.9044
- size of the total moment (μB per cell) = 0.0

---

# Cs2SrPtS

A geometry-optimized Cs2SrPtS structure (GGA-PBE, Alexandria via LeMat-Bulk).

```
5
Lattice="-1.157 1.983 -5.856 3.485 -4.034 -2.055 -4.848 -3.988 -0.393" Properties=species:S:1:pos:R:3 pbc="T T T"
S -1.260 -3.020 -4.152
Cs -0.579 0.992 -2.928
Cs -2.424 -1.994 -0.196
Sr 1.743 -2.017 -1.027
Pt 0.000 0.000 0.000
```

- raw formation energy (eV/atom) = -0.30
- raw total energy (eV per atom) = -3.0121
- size of the total moment (μB per cell) = 0.0

---

# Cs2TaPtS4

A geometry-optimized Cs2TaPtS4 structure (GGA-PBE, Alexandria via LeMat-Bulk).

```
16
Lattice="5.803 0.000 0.000 2.902 7.134 0.000 2.902 0.000 12.726" Properties=species:S:1:pos:R:3 pbc="T T T"
S 5.900 2.243 7.692
S 4.449 1.324 1.329
S 2.806 2.243 5.034
S 4.256 1.324 11.397
S 8.609 4.891 7.692
S 4.256 5.810 1.329
S 10.252 5.810 11.397
S 5.900 4.891 5.034
Pt 4.353 3.567 6.363
Pt 2.902 0.000 0.000
Cs 7.254 3.567 1.847
Cs 5.803 0.000 4.517
Cs 7.254 3.567 10.880
Cs 2.902 0.000 8.210
Ta 0.000 0.000 0.000
Ta 7.254 3.567 6.363
```

- raw formation energy (eV/atom) = -1.00
- raw total energy (eV per atom) = -5.5161
- size of the total moment (μB per cell) = 2.1

---

# Cs2TiPtS4

A geometry-optimized Cs2TiPtS4 structure (GGA-PBE, Alexandria via LeMat-Bulk).

```
16
Lattice="5.883 0.000 0.000 2.942 6.671 0.000 2.942 0.000 13.159" Properties=species:S:1:pos:R:3 pbc="T T T"
Cs 7.354 3.335 11.234
Cs 2.942 0.000 8.505
Cs 7.354 3.335 1.925
Cs 5.883 0.000 4.654
Pt 2.942 0.000 0.000
Pt 4.412 3.335 6.580
S 5.948 4.431 5.148
S 4.348 5.575 1.431
S 4.348 1.095 11.728
S 4.477 1.095 1.431
S 5.948 2.240 8.011
S 2.877 2.240 5.148
S 8.760 4.431 8.011
S 10.360 5.575 11.728
Ti 7.354 3.335 6.580
Ti 0.000 0.000 0.000
```

- raw formation energy (eV/atom) = -1.03
- raw total energy (eV per atom) = -5.0507
- size of the total moment (μB per cell) = 0.0

---

# Cs2TlPtS

A geometry-optimized Cs2TlPtS structure (GGA-PBE, Alexandria via LeMat-Bulk).

```
5
Lattice="6.957 0.000 0.000 0.000 4.378 0.000 0.000 0.000 6.957" Properties=species:S:1:pos:R:3 pbc="T T T"
Cs 0.000 0.000 3.478
Cs 3.478 0.000 0.000
Tl 3.478 2.189 3.478
Pt 0.000 2.189 0.000
S 0.000 0.000 0.000
```

- raw formation energy (eV/atom) = -0.27
- raw total energy (eV per atom) = -3.1169
- size of the total moment (μB per cell) = 0.0

---

# Cs3U3PtS8

A geometry-optimized Cs3U3PtS8 structure (GGA-PBE, Alexandria via LeMat-Bulk).

```
15
Lattice="8.213 0.000 0.000 -4.106 6.623 0.101 0.000 -4.211 8.127" Properties=species:S:1:pos:R:3 pbc="T T T"
U -2.053 1.206 4.114
U 4.106 -2.106 4.064
U 2.053 1.206 4.114
S -1.815 3.294 5.720
S 1.815 3.294 5.720
S 4.106 0.143 5.610
S 5.922 -0.883 2.509
S 2.291 -0.883 2.509
S 4.106 2.516 2.839
S 0.000 -0.105 5.390
S 0.000 2.269 2.619
Cs -2.053 3.311 0.051
Cs 2.053 3.311 0.051
Cs 0.000 0.000 0.000
Pt 0.000 -2.106 4.064
```

- raw formation energy (eV/atom) = -1.16
- raw total energy (eV per atom) = -6.1934
- size of the total moment (μB per cell) = 6.0

---

# Cs2UPt2S6

A geometry-optimized Cs2UPt2S6 structure (GGA-PBE, Alexandria via LeMat-Bulk).

```
11
Lattice="-1.731 6.978 -1.795 -2.453 -5.612 -4.160 -3.417 1.004 7.234" Properties=species:S:1:pos:R:3 pbc="T T T"
S -5.347 -3.040 0.660
S -6.183 0.283 -0.185
S -2.253 5.410 0.619
S -4.896 3.220 1.982
S -1.417 2.087 1.465
S -2.705 -0.850 -0.702
Pt -6.162 2.473 0.291
Pt -1.439 -0.103 0.989
Cs -4.525 -0.331 3.108
Cs -3.075 2.701 -1.829
U -2.574 3.991 2.720
```

- raw formation energy (eV/atom) = -0.78
- raw total energy (eV per atom) = -5.3090
- size of the total moment (μB per cell) = 0.0

---

# Cs2UPtS4

A geometry-optimized Cs2UPtS4 structure (GGA-PBE, Alexandria via LeMat-Bulk).

```
16
Lattice="6.209 0.000 0.000 3.104 7.240 0.000 3.104 0.000 12.945" Properties=species:S:1:pos:R:3 pbc="T T T"
S 9.365 5.030 7.746
S 3.157 2.210 5.199
S 6.157 2.210 7.746
S 4.605 1.410 1.274
S 10.814 5.830 11.672
S 4.709 1.410 11.672
S 4.709 5.830 1.274
S 6.157 5.030 5.199
Pt 3.104 0.000 0.000
Pt 4.657 3.620 6.473
U 7.761 3.620 6.473
U 0.000 0.000 0.000
Cs 7.761 3.620 1.818
Cs 7.761 3.620 11.127
Cs 3.104 0.000 8.291
Cs 6.209 0.000 4.654
```

- raw formation energy (eV/atom) = -0.92
- raw total energy (eV per atom) = -5.3644
- size of the total moment (μB per cell) = 0.0

---

# Cs2UPtS6

A geometry-optimized Cs2UPtS6 structure (GGA-PBE, Alexandria via LeMat-Bulk).

```
10
Lattice="-3.004 5.913 2.402 -6.381 -2.817 -1.050 -4.633 -0.307 5.307" Properties=species:S:1:pos:R:3 pbc="T T T"
Cs -7.853 -0.786 2.467
Cs -6.164 3.574 4.191
S -2.398 0.791 0.346
S -9.354 2.148 3.718
S -4.663 0.640 2.941
S -5.518 -0.587 -0.168
S -11.619 1.997 6.313
S -8.499 3.375 6.826
Pt -4.692 1.548 0.676
U 0.000 0.000 0.000
```

- raw formation energy (eV/atom) = -0.79
- raw total energy (eV per atom) = -5.1709
- size of the total moment (μB per cell) = 0.0

---

# CsUPtS4

A geometry-optimized CsUPtS4 structure (GGA-PBE, Alexandria via LeMat-Bulk).

```
14
Lattice="-0.299 -5.748 2.865 -2.625 -2.391 -5.072 8.342 0.456 -4.533" Properties=species:S:1:pos:R:3 pbc="T T T"
S 5.757 -3.375 -3.278
S 1.065 -6.560 -1.098
S 2.946 -4.311 -5.161
S -0.340 -4.308 -3.462
S 2.472 -3.372 -1.579
S 2.281 -5.453 1.250
S 4.352 -1.124 -5.642
S 3.137 -2.231 -7.990
U 3.823 -1.739 -3.049
U 1.595 -5.945 -3.691
Pt 1.129 -2.949 -4.863
Pt 4.289 -4.735 -1.877
Cs -0.400 -1.937 -0.769
Cs 5.817 -5.746 -5.971
```

- raw formation energy (eV/atom) = -0.95
- raw total energy (eV per atom) = -5.9091
- size of the total moment (μB per cell) = 0.0

---

# CsV2PtS8

A geometry-optimized CsV2PtS8 structure (GGA-PBE, Alexandria via LeMat-Bulk).

```
12
Lattice="-5.172 0.641 3.195 -5.253 -2.208 -2.212 -1.816 -8.831 4.682" Properties=species:S:1:pos:R:3 pbc="T T T"
V -9.109 -8.155 4.436
V -3.131 -2.242 1.229
S -7.261 -8.899 3.535
S -2.764 -4.082 2.193
S -9.477 -6.316 3.472
S -3.741 -8.289 3.358
S -4.980 -1.499 2.130
S -5.609 -7.174 6.197
S -6.632 -3.224 -0.533
S -8.500 -2.109 2.307
Pt 0.000 0.000 0.000
Cs -6.120 -5.199 2.832
```

- raw formation energy (eV/atom) = -0.48
- raw total energy (eV per atom) = -5.3291
- size of the total moment (μB per cell) = 0.0

---

# Cs2Sb4Pt3

A geometry-optimized Cs2Sb4Pt3 structure (GGA-PBE, Alexandria via LeMat-Bulk).

```
9
Lattice="-1.486 6.697 -1.624 -5.093 -4.220 2.438 4.804 0.664 6.052" Properties=species:S:1:pos:R:3 pbc="T T T"
Pt -2.546 -2.110 1.219
Pt -0.743 3.348 -0.812
Pt 0.000 0.000 0.000
Sb -4.105 -1.891 3.339
Sb -0.048 -2.165 6.205
Sb 2.330 5.032 3.527
Sb -1.727 5.306 0.661
Cs -2.872 1.762 2.186
Cs 1.098 1.378 4.679
```

- raw formation energy (eV/atom) = -0.38
- raw total energy (eV per atom) = -4.4166
- size of the total moment (μB per cell) = 0.0

---

# Cs3Sb4Pt

A geometry-optimized Cs3Sb4Pt structure (GGA-PBE, Alexandria via LeMat-Bulk).

```
16
Lattice="-5.869 0.994 2.105 2.197 -1.733 6.943 3.152 13.558 2.386" Properties=species:S:1:pos:R:3 pbc="T T T"
Cs -0.121 3.404 0.888
Cs -3.059 0.518 1.097
Cs -0.136 6.389 5.673
Cs 1.518 10.451 2.128
Cs -3.074 3.503 5.882
Cs -1.561 10.014 7.028
Sb 0.538 -0.478 2.005
Sb 1.486 -1.225 5.000
Sb -2.484 6.400 8.713
Sb -2.585 5.868 2.282
Sb 1.819 11.488 6.326
Sb -0.610 1.039 4.488
Sb -1.862 8.978 2.830
Sb -3.734 7.385 4.765
Pt -0.287 7.095 1.861
Pt -2.908 -0.188 4.909
```

- raw formation energy (eV/atom) = -0.33
- raw total energy (eV per atom) = -3.4644
- size of the total moment (μB per cell) = 0.0

---

# Cs2Sb2Pt3

A geometry-optimized Cs2Sb2Pt3 structure (GGA-PBE, Alexandria via LeMat-Bulk).

```
7
Lattice="-3.098 -0.835 -2.808 4.706 -5.826 -0.224 -7.093 3.177 6.880" Properties=species:S:1:pos:R:3 pbc="T T T"
Pt -3.071 -1.530 0.606
Pt -2.413 -1.953 3.242
Pt -1.549 -0.417 -1.404
Cs -4.902 1.476 4.968
Cs -0.582 -4.959 -1.120
Sb -4.991 -1.931 2.843
Sb -0.493 -1.552 1.005
```

- raw formation energy (eV/atom) = -0.43
- raw total energy (eV per atom) = -4.4393
- size of the total moment (μB per cell) = 0.0

---

# CsSbPt2

A geometry-optimized CsSbPt2 structure (GGA-PBE, Alexandria via LeMat-Bulk).

```
4
Lattice="-4.232 -0.236 1.858 -1.169 -3.616 2.642 0.367 1.917 6.841" Properties=species:S:1:pos:R:3 pbc="T T T"
Pt -3.365 -0.844 9.518
Pt -1.669 -1.091 1.823
Sb 0.000 0.000 0.000
Cs -2.517 -0.967 5.670
```

- raw formation energy (eV/atom) = -0.32
- raw total energy (eV per atom) = -4.5846
- size of the total moment (μB per cell) = 0.0

---

# CsSbPt3

A geometry-optimized CsSbPt3 structure (GGA-PBE, Alexandria via LeMat-Bulk).

```
5
Lattice="5.160 0.000 0.000 0.000 5.160 0.000 0.000 0.000 5.160" Properties=species:S:1:pos:R:3 pbc="T T T"
Pt 2.580 0.000 0.000
Pt 0.000 2.580 0.000
Pt 0.000 0.000 2.580
Sb 0.000 0.000 0.000
Cs 2.580 2.580 2.580
```

- offset from the most stable computed form (meV/atom) = 0
- raw formation energy (eV/atom) = 0.35
- raw total energy (eV per atom) = -4.2700
- size of the total moment (μB per cell) = 0.0

---

# CsSbPt3

A geometry-optimized CsSbPt3 structure (GGA-PBE, Alexandria via LeMat-Bulk).

```
5
Lattice="5.205 0.000 0.000 0.000 5.205 0.000 0.000 0.000 5.205" Properties=species:S:1:pos:R:3 pbc="T T T"
Pt 0.000 0.000 2.603
Pt 0.000 2.603 0.000
Pt 2.603 0.000 0.000
Sb 2.603 2.603 2.603
Cs 0.000 0.000 0.000
```

- offset from the most stable computed form (meV/atom) = 1569
- raw formation energy (eV/atom) = 1.92
- raw total energy (eV per atom) = -2.7009
- size of the total moment (μB per cell) = 0.0

---

# Cs2Sb2Pt

A geometry-optimized Cs2Sb2Pt structure (GGA-PBE, Alexandria via LeMat-Bulk).

```
10
Lattice="8.452 -0.083 0.000 -4.846 6.926 0.000 0.000 0.000 7.085" Properties=species:S:1:pos:R:3 pbc="T T T"
Cs 0.454 4.132 1.771
Cs 5.813 1.308 1.771
Cs 3.152 2.710 5.314
Cs -2.206 5.535 5.314
Sb 4.229 4.912 1.771
Sb -0.622 1.930 5.314
Sb 1.944 0.578 1.771
Sb 1.662 6.265 5.314
Pt 0.000 0.000 3.543
Pt 0.000 0.000 0.000
```

- offset from the most stable computed form (meV/atom) = 0
- raw formation energy (eV/atom) = -0.50
- raw total energy (eV per atom) = -3.6999
- size of the total moment (μB per cell) = 0.0